Density functional theory data (SCAN) for ReH3I at its PBEsol-relaxed geometry.

Summary:
Fermi-level density of states in states/eV/f.u.: 2.37
ρ in g/cm³: 10.28
Space-group type: No. 221
Final energy in hartree per atom: -0.8288
Spin magnetization in μB per atom: 0.000

Cell: 3.7104 3.7104 3.7104 Å, 90.00 90.00 90.00°
Fractional coordinates of all 5 atoms:
I (0.5000, 0.5000, 0.5000)
Re (0.0000, 0.0000, 0.0000)
H (0.0000, 0.5000, 0.0000)
H (0.0000, 0.0000, 0.5000)
H (0.5000, 0.0000, 0.0000)

=====

Density functional theory data (SCAN) for TlCrAg at its PBEsol-relaxed geometry.

Summary:
Fermi-level density of states in states/eV/f.u.: 1.73
ρ in g/cm³: 9.45
Space-group type: No. 216
Final energy in hartree per atom: -1.4788
Spin magnetization in μB per atom: 1.421
DFT formation energy in meV/atom: 463

Cell: 4.4893 4.4893 4.4893 Å, 60.00 60.00 60.00°
Fractional coordinates of all 3 atoms:
Ag (0.5000, 0.5000, 0.5000)
Cr (0.2500, 0.2500, 0.2500)
Tl (0.0000, 0.0000, 0.0000)

=====

Density functional theory data (SCAN) for CuTeN2F at its PBEsol-relaxed geometry.

Summary:
Fermi-level density of states in states/eV/f.u.: 1.82
ρ in g/cm³: 7.04
Space-group type: No. 123
Final energy in hartree per atom: -0.5211
Raw formation energy in eV per atom: 0.73
Spin magnetization in μB per atom: 0.000

Cell: 3.7224 3.8837 3.8837 Å, 90.00 90.00 90.00°
Fractional coordinates of all 5 atoms:
N (0.0000, 0.0000, 0.5000)
N (0.0000, 0.5000, 0.0000)
Te (0.5000, 0.5000, 0.5000)
Cu (0.0000, 0.0000, 0.0000)
F (0.5000, 0.0000, 0.0000)

=====

Density functional theory data (SCAN) for FeO at its PBEsol-relaxed geometry.

Summary:
Fermi-level density of states in states/eV/f.u.: 0.95
ρ in g/cm³: 6.19
Space-group type: No. 131
Final energy in hartree per atom: -0.4900
Raw formation energy in eV per atom: -1.15
Spin magnetization in μB per atom: 0.991

Cell: 2.7243 2.7243 5.1945 Å, 90.00 90.00 90.00°
Fractional coordinates of all 4 atoms:
Fe (0.0000, 0.5000, 0.0000)
Fe (0.5000, 0.0000, 0.5000)
O (0.0000, 0.0000, 0.7500)
O (0.0000, 0.0000, 0.2500)

=====

Density functional theory data (SCAN) for Ca2TeW at its PBEsol-relaxed geometry.

Summary:
Fermi-level density of states in states/eV/f.u.: 3.30
ρ in g/cm³: 7.08
Space-group type: No. 65
Final energy in hartree per atom: -1.1453
Raw formation energy in eV per atom: 0.40
Spin magnetization in μB per atom: 0.000
Polymorph energy (0 for the lowest one) in meV/atom: 164

Cell: 3.0596 5.6518 5.6518 Å, 109.90 90.00 90.00°
Fractional coordinates of all 4 atoms:
Ca (0.0000, 0.5000, 0.0000)
Ca (0.0000, 0.0000, 0.5000)
Te (0.5000, 0.0000, 0.0000)
W (0.5000, 0.5000, 0.5000)

=====

Density functional theory data (SCAN) for BeAg2Cl at its PBEsol-relaxed geometry.

Summary:
Fermi-level density of states in states/eV/f.u.: 1.05
ρ in g/cm³: 6.46
Space-group type: No. 99
Final energy in hartree per atom: -0.6870
Raw formation energy in eV per atom: 0.07
Spin magnetization in μB per atom: 0.000
Polymorph energy (0 for the lowest one) in meV/atom: 25

Cell: 2.8534 2.8534 8.2177 Å, 90.00 90.00 90.00°
Fractional coordinates of all 4 atoms:
Be (0.0000, 0.0000, 0.5058)
Ag (0.0000, 0.0000, 0.0444)
Ag (0.5000, 0.5000, 0.2943)
Cl (0.5000, 0.5000, 0.6554)

=====

Density functional theory data (SCAN) for TeAsIr4 at its PBEsol-relaxed geometry.

Summary:
Fermi-level density of states in states/eV/f.u.: 6.44
ρ in g/cm³: 15.82
Space-group type: No. 216
Final energy in hartree per atom: -2.0655
Raw formation energy in eV per atom: 0.77
Spin magnetization in μB per atom: 0.000

Cell: 5.2443 5.2443 5.2443 Å, 60.00 60.00 60.00°
Fractional coordinates of all 6 atoms:
As (0.0000, 0.0000, 0.0000)
Ir (0.3747, 0.3747, 0.3747)
Ir (0.3747, 0.3747, 0.8758)
Ir (0.8758, 0.3747, 0.3747)
Ir (0.3747, 0.8758, 0.3747)
Te (0.7500, 0.7500, 0.7500)

=====

Density functional theory data (SCAN) for MgWNO2 at its PBEsol-relaxed geometry.

Summary:
Fermi-level density of states in states/eV/f.u.: 1.97
ρ in g/cm³: 8.50
Space-group type: No. 123
Final energy in hartree per atom: -0.7026
Raw formation energy in eV per atom: 0.16
Spin magnetization in μB per atom: 0.195

Cell: 3.5595 3.5595 3.9201 Å, 90.00 90.00 90.00°
Fractional coordinates of all 5 atoms:
Mg (0.0000, 0.0000, 0.0000)
O (0.0000, 0.5000, 0.0000)
O (0.5000, 0.0000, 0.0000)
W (0.5000, 0.5000, 0.5000)
N (0.0000, 0.0000, 0.5000)

=====

Density functional theory data (SCAN) for BaSbCl2 at its PBEsol-relaxed geometry.

Summary:
Fermi-level density of states in states/eV/f.u.: 1.87
ρ in g/cm³: 4.28
Space-group type: No. 160
Final energy in hartree per atom: -0.8976
Raw formation energy in eV per atom: -1.23
Spin magnetization in μB per atom: 0.250
Polymorph energy (0 for the lowest one) in meV/atom: 30

Cell: 4.9405 4.9405 6.6925 Å, 68.34 68.34 60.00°
Fractional coordinates of all 4 atoms:
Sb (0.4564, 0.4564, 0.6308)
Ba (0.2606, 0.2606, 0.2182)
Cl (0.9875, 0.9875, 0.0374)
Cl (0.7954, 0.7954, 0.6137)

=====

Density functional theory data (SCAN) for KSrFe2 at its PBEsol-relaxed geometry.

Summary:
Fermi-level density of states in states/eV/f.u.: 3.09
ρ in g/cm³: 3.83
Space-group type: No. 99
Final energy in hartree per atom: -0.5912
Spin magnetization in μB per atom: 1.398
Polymorph energy (0 for the lowest one) in meV/atom: 0
DFT formation energy in meV/atom: 630

Cell: 3.3101 3.3125 9.9863 Å, 90.00 109.35 90.00°
Fractional coordinates of all 4 atoms:
Fe (0.0758, 0.0000, 0.0762)
Fe (0.6541, 0.5000, 0.1543)
K (0.4267, 0.0000, 0.4257)
Sr (0.3434, 0.5000, 0.8438)

=====

Density functional theory data (SCAN) for NiMoOs2 at its PBEsol-relaxed geometry.

Summary:
Fermi-level density of states in states/eV/f.u.: 3.13
ρ in g/cm³: 16.50
Space-group type: No. 119
Final energy in hartree per atom: -1.7872
Spin magnetization in μB per atom: 0.000
Polymorph energy (0 for the lowest one) in meV/atom: 0
DFT formation energy in meV/atom: 73

Cell: 3.7512 3.7512 4.6569 Å, 113.75 113.75 90.00°
Fractional coordinates of all 4 atoms:
Mo (0.5000, 0.5000, 0.0000)
Ni (0.7500, 0.2500, 0.5000)
Os (0.0000, 0.0000, 0.0000)
Os (0.2500, 0.7500, 0.5000)

=====

Density functional theory data (SCAN) for SrZr2Hg at its PBEsol-relaxed geometry.

Summary:
Fermi-level density of states in states/eV/f.u.: 2.03
ρ in g/cm³: 8.10
Space-group type: No. 119
Final energy in hartree per atom: -1.3875
Spin magnetization in μB per atom: 0.453
DFT formation energy in meV/atom: 204

Cell: 4.5700 4.5700 5.6362 Å, 113.92 113.92 90.00°
Fractional coordinates of all 4 atoms:
Hg (0.5000, 0.5000, 0.0000)
Sr (0.2500, 0.7500, 0.5000)
Zr (0.0000, 0.0000, 0.0000)
Zr (0.7500, 0.2500, 0.5000)

=====

Density functional theory data (SCAN) for KCd2Au at its PBEsol-relaxed geometry.

Summary:
Fermi-level density of states in states/eV/f.u.: 1.26
ρ in g/cm³: 6.58
Space-group type: No. 166
Final energy in hartree per atom: -1.2801
Spin magnetization in μB per atom: 0.000
DFT formation energy in meV/atom: -253

Cell: 4.7639 4.7639 6.5250 Å, 68.59 68.59 60.00°
Fractional coordinates of all 4 atoms:
K (0.5000, 0.5000, 0.5000)
Au (0.0000, 0.0000, 0.0000)
Cd (0.3053, 0.3053, 0.0841)
Cd (0.6947, 0.6947, 0.9159)

=====

Density functional theory data (SCAN) for Zr3ZnPb at its PBEsol-relaxed geometry.

Summary:
Fermi-level density of states in states/eV/f.u.: 4.19
ρ in g/cm³: 6.12
Space-group type: No. 221
Final energy in hartree per atom: -1.2942
Spin magnetization in μB per atom: 0.000
DFT formation energy in meV/atom: 1062

Cell: 5.2911 5.2911 5.2911 Å, 90.00 90.00 90.00°
Fractional coordinates of all 5 atoms:
Pb (0.0000, 0.0000, 0.0000)
Zn (0.5000, 0.5000, 0.5000)
Zr (0.0000, 0.5000, 0.0000)
Zr (0.0000, 0.0000, 0.5000)
Zr (0.5000, 0.0000, 0.0000)